(1)
Entry from Alexandria via LeMat-Bulk: a geometry-optimized ReP2CCl structure (GGA-PBE).

a = 4.575 Å, b = 4.575 Å, c = 4.945 Å
α = 90.00°, β = 90.00°, γ = 90.00°
Fractional positions:
Re  0.000  0.000  0.000
P  0.000  0.500  0.000
P  0.500  0.000  0.000
C  0.500  0.500  0.500
Cl  0.000  0.000  0.500

Output
E_tot in eV for the cell shown: -25.76

***

(2)
Entry from Alexandria via LeMat-Bulk: a geometry-optimized P2RhCCl structure (GGA-PBE).

a = 4.015 Å, b = 4.015 Å, c = 4.191 Å
α = 90.00°, β = 90.00°, γ = 90.00°
Fractional positions:
P  0.000  0.500  0.000
P  0.500  0.000  0.000
Rh  0.000  0.000  0.500
C  0.500  0.500  0.000
Cl  0.500  0.500  0.500

Output
E_tot in eV for the cell shown: -23.19

***

(3)
Entry from Alexandria via LeMat-Bulk: a geometry-optimized P2RhCCl structure (GGA-PBE).

a = 4.543 Å, b = 4.543 Å, c = 4.922 Å
α = 90.00°, β = 90.00°, γ = 90.00°
Fractional positions:
P  0.000  0.500  0.000
P  0.500  0.000  0.000
Rh  0.000  0.000  0.000
C  0.500  0.500  0.500
Cl  0.000  0.000  0.500

Output
E_tot in eV for the cell shown: -20.67

***

(4)
Entry from Alexandria via LeMat-Bulk: a geometry-optimized PRuCCl2 structure (GGA-PBE).

a = 4.281 Å, b = 4.281 Å, c = 4.086 Å
α = 90.00°, β = 90.00°, γ = 90.00°
Fractional positions:
P  0.000  0.000  0.000
Ru  0.500  0.500  0.000
C  0.000  0.000  0.500
Cl  0.000  0.500  0.500
Cl  0.500  0.000  0.500

Output
E_tot in eV for the cell shown: -19.65

***

(5)
Entry from Alexandria via LeMat-Bulk: a geometry-optimized PRuCCl2 structure (GGA-PBE).

a = 5.313 Å, b = 5.313 Å, c = 3.177 Å
α = 90.00°, β = 90.00°, γ = 90.00°
Fractional positions:
P  0.000  0.000  0.000
Ru  0.500  0.500  0.500
C  0.000  0.000  0.500
Cl  0.000  0.500  0.000
Cl  0.500  0.000  0.000

Output
E_tot in eV for the cell shown: -21.39

***

(6)
Entry from Alexandria via LeMat-Bulk: a geometry-optimized P2RuCCl structure (GGA-PBE).

a = 4.497 Å, b = 4.497 Å, c = 4.977 Å
α = 90.00°, β = 90.00°, γ = 90.00°
Fractional positions:
P  0.000  0.500  0.000
P  0.500  0.000  0.000
Ru  0.000  0.000  0.000
C  0.500  0.500  0.500
Cl  0.000  0.000  0.500

Output
E_tot in eV for the cell shown: -22.79

***

(7)
Entry from Alexandria via LeMat-Bulk: a geometry-optimized PRuCCl2 structure (GGA-PBE).

a = 4.861 Å, b = 4.861 Å, c = 4.471 Å
α = 90.00°, β = 90.00°, γ = 90.00°
Fractional positions:
P  0.000  0.000  0.000
Ru  0.000  0.000  0.500
C  0.500  0.500  0.000
Cl  0.000  0.500  0.500
Cl  0.500  0.000  0.500

Output
E_tot in eV for the cell shown: -19.86

***

(8)
Entry from Alexandria via LeMat-Bulk: a geometry-optimized P2RuCCl structure (GGA-PBE).

a = 3.944 Å, b = 3.944 Å, c = 4.215 Å
α = 90.00°, β = 90.00°, γ = 90.00°
Fractional positions:
P  0.000  0.500  0.000
P  0.500  0.000  0.000
Ru  0.000  0.000  0.500
C  0.500  0.500  0.000
Cl  0.500  0.500  0.500

Output
E_tot in eV for the cell shown: -24.61

***

(9)
Entry from Alexandria via LeMat-Bulk: a geometry-optimized P2CSCl structure (GGA-PBE).

a = 4.191 Å, b = 4.191 Å, c = 4.188 Å
α = 90.00°, β = 90.00°, γ = 90.00°
Fractional positions:
P  0.000  0.500  0.000
P  0.500  0.000  0.000
C  0.000  0.000  0.000
S  0.500  0.500  0.500
Cl  0.000  0.000  0.500

Output
E_tot in eV for the cell shown: -18.96

***

(10)
Entry from Alexandria via LeMat-Bulk: a geometry-optimized P2CSCl structure (GGA-PBE).

a = 4.663 Å, b = 4.663 Å, c = 4.398 Å
α = 90.00°, β = 90.00°, γ = 90.00°
Fractional positions:
P  0.000  0.500  0.000
P  0.500  0.000  0.000
C  0.000  0.000  0.500
S  0.500  0.500  0.500
Cl  0.500  0.500  0.000

Output
E_tot in eV for the cell shown: -12.76

***

(11)
Entry from Alexandria via LeMat-Bulk: a geometry-optimized P2CSCl structure (GGA-PBE).

a = 4.654 Å, b = 4.654 Å, c = 4.579 Å
α = 90.00°, β = 90.00°, γ = 90.00°
Fractional positions:
P  0.000  0.500  0.000
P  0.500  0.000  0.000
C  0.000  0.000  0.500
S  0.500  0.500  0.000
Cl  0.500  0.500  0.500

Output
E_tot in eV for the cell shown: -15.21

***

(12)
Entry from Alexandria via LeMat-Bulk: a geometry-optimized P2CSCl structure (GGA-PBE).

a = 4.328 Å, b = 4.328 Å, c = 4.020 Å
α = 90.00°, β = 90.00°, γ = 90.00°
Fractional positions:
P  0.000  0.500  0.000
P  0.500  0.000  0.000
C  0.000  0.000  0.000
S  0.000  0.000  0.500
Cl  0.500  0.500  0.500

Output
E_tot in eV for the cell shown: -19.01

***

(13)
Entry from Alexandria via LeMat-Bulk: a geometry-optimized ScPCCl2 structure (GGA-PBE).

a = 4.329 Å, b = 4.329 Å, c = 4.324 Å
α = 90.00°, β = 90.00°, γ = 90.00°
Fractional positions:
Sc  0.000  0.000  0.000
P  0.500  0.500  0.000
C  0.500  0.500  0.500
Cl  0.000  0.500  0.500
Cl  0.500  0.000  0.500

Output
E_tot in eV for the cell shown: -22.20

***

(14)
Entry from Alexandria via LeMat-Bulk: a geometry-optimized ScPCCl2 structure (GGA-PBE).

a = 4.804 Å, b = 4.804 Å, c = 5.441 Å
α = 90.00°, β = 90.00°, γ = 90.00°
Fractional positions:
Sc  0.000  0.000  0.000
P  0.000  0.000  0.500
C  0.500  0.500  0.500
Cl  0.000  0.500  0.000
Cl  0.500  0.000  0.000

Output
E_tot in eV for the cell shown: -21.04

***

(15)
Entry from Alexandria via LeMat-Bulk: a geometry-optimized PCSeCl2 structure (GGA-PBE).

a = 4.795 Å, b = 4.795 Å, c = 5.246 Å
α = 90.00°, β = 90.00°, γ = 90.00°
Fractional positions:
P  0.000  0.000  0.000
C  0.500  0.500  0.000
Se  0.000  0.000  0.500
Cl  0.000  0.500  0.500
Cl  0.500  0.000  0.500

Output
E_tot in eV for the cell shown: -12.46

***

(16)
Entry from Alexandria via LeMat-Bulk: a geometry-optimized PCSeCl2 structure (GGA-PBE).

a = 4.251 Å, b = 4.251 Å, c = 4.557 Å
α = 90.00°, β = 90.00°, γ = 90.00°
Fractional positions:
P  0.000  0.000  0.000
C  0.000  0.000  0.500
Se  0.500  0.500  0.000
Cl  0.000  0.500  0.500
Cl  0.500  0.000  0.500

Output
E_tot in eV for the cell shown: -15.39

***

(17)
Entry from Alexandria via LeMat-Bulk: a geometry-optimized SiP2CCl structure (GGA-PBE).

a = 4.593 Å, b = 4.593 Å, c = 4.491 Å
α = 90.00°, β = 90.00°, γ = 90.00°
Fractional positions:
Si  0.000  0.000  0.000
P  0.000  0.500  0.000
P  0.500  0.000  0.000
C  0.500  0.500  0.500
Cl  0.000  0.000  0.500

Output
E_tot in eV for the cell shown: -18.19

***

(18)
Entry from Alexandria via LeMat-Bulk: a geometry-optimized SiP2CCl structure (GGA-PBE).

a = 4.021 Å, b = 4.021 Å, c = 4.730 Å
α = 90.00°, β = 90.00°, γ = 90.00°
Fractional positions:
Si  0.000  0.000  0.000
P  0.000  0.500  0.500
P  0.500  0.000  0.500
C  0.500  0.500  0.500
Cl  0.500  0.500  0.000

Output
E_tot in eV for the cell shown: -20.76

***

(19)
Entry from Alexandria via LeMat-Bulk: a geometry-optimized Sm4PCCl2 structure (GGA-PBE).

a = 6.874 Å, b = 3.888 Å, c = 7.294 Å
α = 90.00°, β = 107.93°, γ = 90.00°
Fractional positions:
Sm  0.210  0.000  0.196
Sm  0.238  0.500  0.797
Sm  0.762  0.500  0.203
Sm  0.790  0.000  0.804
P  0.500  0.000  0.000
C  0.000  0.500  0.000
Cl  0.000  0.000  0.500
Cl  0.500  0.500  0.500

Output
E_tot in eV for the cell shown: -47.73

***

(20)
Entry from Alexandria via LeMat-Bulk: a geometry-optimized Sm6PC2Cl3 structure (GGA-PBE).

a = 9.147 Å, b = 9.147 Å, c = 8.311 Å
α = 107.98°, β = 107.98°, γ = 24.22°
Fractional positions:
Sm  0.023  0.023  0.246
Sm  0.319  0.319  0.447
Sm  0.334  0.334  0.866
Sm  0.666  0.666  0.134
Sm  0.681  0.681  0.553
Sm  0.977  0.977  0.754
P  0.500  0.500  0.000
C  0.169  0.169  0.336
C  0.831  0.831  0.664
Cl  0.165  0.165  0.829
Cl  0.500  0.500  0.500
Cl  0.835  0.835  0.171

Output
E_tot in eV for the cell shown: -72.50

***

no.,formation energy from raw total energies (kJ per mole of atoms)
1,165.6
2,116.9
3,165.4
4,153.4
5,119.9
6,161.7
7,149.5
8,126.4
9,136.2
10,255.9
11,208.6
12,135.2
13,47.5
14,69.8
15,180.5
16,123.9
17,176.1
18,126.5
19,-127.0
20,-118.9